[1]
Here is an optimized crystal structure of NaTm2P from the Alexandria database. Energies are from PBE.

```
NaTm2P
1.0
1.872 1.081 10.212
-1.872 1.081 10.212
0.000 -2.162 10.212
Na Tm P
1 2 1
Cartesian
0.000 0.000 0.000 Na
0.000 0.000 3.516 Tm
0.000 0.000 27.121 Tm
0.000 0.000 15.319 P
```

Properties
**Energy relative to the elements**: -0.549 eV per atom
**Crystal system**: trigonal
**Symmetry**: R-3m (166)


[2]
Here is an optimized crystal structure of NaUP2 from the Alexandria database. Energies are from PBE.

```
NaUP2
1.0
2.019 1.166 6.852
-2.019 1.166 6.852
0.000 -2.331 6.852
Na U P
1 1 2
Cartesian
0.000 0.000 0.000 Na
0.000 0.000 16.991 U
0.000 0.000 4.687 P
0.000 0.000 8.755 P
```

Properties
**Energy relative to the elements**: -0.571 eV per atom
**Crystal system**: trigonal
**Symmetry**: R3m (160)
**Excess energy over the best structure of this formula in the dataset**: 0.036 eV/atom


[3]
Here is an optimized crystal structure of NaUP2 from the Alexandria database. Energies are from PBE.

```
NaUP2
1.0
2.039 1.177 6.571
-2.039 1.177 6.571
0.000 -2.354 6.571
Na U P
1 1 2
Cartesian
0.000 0.000 0.000 Na
0.000 0.000 9.856 U
0.000 0.000 4.632 P
0.000 0.000 15.080 P
```

Properties
**Energy relative to the elements**: -0.607 eV per atom
**Crystal system**: trigonal
**Symmetry**: R-3m (166)
**Excess energy over the best structure of this formula in the dataset**: 0.000 eV/atom


[4]
Here is an optimized crystal structure of NaV3P from the Alexandria database. Energies are from PBE.

```
NaV3P
1.0
4.477 0.000 0.000
0.000 4.477 0.000
0.000 0.000 4.477
Na V P
1 3 1
Cartesian
0.000 0.000 0.000 Na
0.000 2.239 2.239 V
2.239 0.000 2.239 V
2.239 2.239 0.000 V
2.239 2.239 2.239 P
```

Properties
**Energy relative to the elements**: 0.553 eV per atom
**Crystal system**: cubic
**Symmetry**: Pm-3m (221)
**Excess energy over the best structure of this formula in the dataset**: 0.000 eV/atom


[5]
Here is an optimized crystal structure of NaV3P from the Alexandria database. Energies are from PBE.

```
NaV3P
1.0
4.359 0.000 0.000
0.000 4.359 0.000
0.000 0.000 4.359
Na V P
1 3 1
Cartesian
0.000 0.000 0.000 Na
0.000 0.000 2.180 V
0.000 2.180 0.000 V
2.180 0.000 0.000 V
2.180 2.180 2.180 P
```

Properties
**Energy relative to the elements**: 2.176 eV per atom
**Crystal system**: cubic
**Symmetry**: Pm-3m (221)
**Excess energy over the best structure of this formula in the dataset**: 1.623 eV/atom


[6]
Here is an optimized crystal structure of Na2VP from the Alexandria database. Energies are from PBE.

```
Na2VP
1.0
-5.374 5.374 2.335
5.374 -5.374 2.335
5.374 5.374 -2.335
Na V P
4 2 2
Cartesian
0.695 2.687 0.584 Na
-2.687 4.679 1.752 Na
-0.695 8.060 0.584 Na
2.687 6.068 1.752 Na
5.374 0.000 1.168 V
0.000 0.000 2.335 V
0.000 0.000 0.000 P
0.000 5.374 1.168 P
```

Properties
**Energy relative to the elements**: 0.206 eV per atom
**Crystal system**: tetragonal
**Symmetry**: I-42d (122)


[7]
Here is an optimized crystal structure of NaVP3 from the Alexandria database. Energies are from PBE.

```
NaVP3
1.0
4.720 0.000 0.000
0.000 4.720 0.000
0.000 0.000 4.720
Na V P
1 1 3
Cartesian
0.000 0.000 0.000 Na
2.360 2.360 2.360 V
0.000 0.000 2.360 P
0.000 2.360 0.000 P
2.360 0.000 0.000 P
```

Properties
**Energy relative to the elements**: 1.541 eV per atom
**Crystal system**: cubic
**Symmetry**: Pm-3m (221)
**Excess energy over the best structure of this formula in the dataset**: 1.538 eV/atom


[8]
Here is an optimized crystal structure of Na6VP4 from the Alexandria database. Energies are from PBE.

```
Na6VP4
1.0
9.140 0.000 0.000
-4.570 7.915 0.000
0.000 0.000 7.078
Na V P
12 2 8
Cartesian
-1.869 4.198 0.000 Na
0.000 2.290 2.239 Na
-2.586 6.770 2.239 Na
1.984 1.145 5.778 Na
1.869 4.198 0.000 Na
0.000 7.435 0.000 Na
4.570 0.480 3.539 Na
2.701 3.718 3.539 Na
2.586 6.770 2.239 Na
7.156 1.145 5.778 Na
4.570 5.625 5.778 Na
6.439 3.718 3.539 Na
0.000 5.277 4.354 V
4.570 2.638 0.815 V
0.000 3.098 5.032 P
-1.887 6.366 5.032 P
0.000 5.277 2.094 P
2.683 1.549 1.493 P
1.887 6.366 5.032 P
4.570 2.638 5.633 P
6.457 1.549 1.493 P
4.570 4.818 1.493 P
```

Properties
**Energy relative to the elements**: -0.395 eV per atom
**Crystal system**: hexagonal
**Symmetry**: P6_3mc (186)


[9]
Here is an optimized crystal structure of NaVP3 from the Alexandria database. Energies are from PBE.

```
NaVP3
1.0
4.598 0.000 0.000
0.000 4.598 0.000
0.000 0.000 4.598
Na V P
1 1 3
Cartesian
0.000 0.000 0.000 Na
2.299 2.299 2.299 V
0.000 2.299 2.299 P
2.299 0.000 2.299 P
2.299 2.299 0.000 P
```

Properties
**Energy relative to the elements**: 0.003 eV per atom
**Crystal system**: cubic
**Symmetry**: Pm-3m (221)
**Excess energy over the best structure of this formula in the dataset**: 0.000 eV/atom


[10]
Here is an optimized crystal structure of NaP2W from the Alexandria database. Energies are from PBE.

```
NaP2W
1.0
1.633 0.943 7.766
-1.633 0.943 7.766
0.000 -1.886 7.766
Na P W
1 2 1
Cartesian
0.000 0.000 0.000 Na
0.000 0.000 5.491 P
0.000 0.000 10.061 P
0.000 0.000 19.427 W
```

Properties
**Energy relative to the elements**: -0.269 eV per atom
**Crystal system**: trigonal
**Symmetry**: R3m (160)
**Excess energy over the best structure of this formula in the dataset**: 0.000 eV/atom


[11]
Here is an optimized crystal structure of NaP2W from the Alexandria database. Energies are from PBE.

```
NaP2W
1.0
0.000 3.135 3.135
3.135 0.000 3.135
3.135 3.135 0.000
Na P W
1 2 1
Cartesian
0.000 0.000 0.000 Na
1.568 1.568 1.568 P
4.703 4.703 4.703 P
3.135 3.135 3.135 W
```

Properties
**Energy relative to the elements**: 0.301 eV per atom
**Crystal system**: cubic
**Symmetry**: Fm-3m (225)
**Excess energy over the best structure of this formula in the dataset**: 0.571 eV/atom


[12]
Here is an optimized crystal structure of NaP2W from the Alexandria database. Energies are from PBE.

```
NaP2W
1.0
1.636 0.944 7.719
-1.636 0.944 7.719
0.000 -1.889 7.719
Na P W
1 2 1
Cartesian
0.000 0.000 0.000 Na
0.000 0.000 5.455 P
0.000 0.000 17.702 P
0.000 0.000 11.579 W
```

Properties
**Energy relative to the elements**: -0.269 eV per atom
**Crystal system**: trigonal
**Symmetry**: R-3m (166)
**Excess energy over the best structure of this formula in the dataset**: 0.000 eV/atom


[13]
Here is an optimized crystal structure of NaP2W2 from the Alexandria database. Energies are from PBE.

```
NaP2W2
1.0
-2.323 2.323 4.240
2.323 -2.323 4.240
2.323 2.323 -4.240
Na P W
1 2 2
Cartesian
0.000 0.000 0.000 Na
2.323 0.000 2.120 P
0.000 2.323 2.120 P
0.000 0.000 3.058 W
0.000 0.000 5.421 W
```

Properties
**Energy relative to the elements**: 0.138 eV per atom
**Crystal system**: tetragonal
**Symmetry**: I4/mmm (139)